DFT (PBE) results for crystalline TaSnHg2 at its relaxed geometry.

Cell: 11.7387 11.7387 11.7387 Å, 15.18 15.18 15.18°
Fractional positions:
Ta 0.0000 0.0000 0.0000
Sn 0.5000 0.5000 0.5000
Hg 0.0824 0.0824 0.0824
Hg 0.9176 0.9176 0.9176

* symmetry: R-3m, No. 166
* Fermi-level density of states: 4.7 states/eV/cell
* ΔH_f (0 K): 600 meV/atom
* total energy: -14.06 eV per cell

=====

DFT (PBE) results for crystalline TaSn3Hg at its relaxed geometry.

Cell: 5.3721 5.3721 5.3721 Å, 90.00 90.00 90.00°
Fractional positions:
Ta 0.0000 0.0000 0.0000
Sn 0.0000 0.5000 0.5000
Sn 0.5000 0.0000 0.5000
Sn 0.5000 0.5000 0.0000
Hg 0.5000 0.5000 0.5000

* symmetry: Pm-3m, No. 221
* relative energy among the computed polymorphs: 1179 meV/atom
* Fermi-level density of states: 7.7 states/eV/cell
* ΔH_f (0 K): 1468 meV/atom
* total energy: -16.82 eV per cell

=====

DFT (PBE) results for crystalline TaSnHg3 at its relaxed geometry.

Cell: 5.3712 5.3712 5.3712 Å, 90.00 90.00 90.00°
Fractional positions:
Ta 0.0000 0.0000 0.0000
Sn 0.5000 0.5000 0.5000
Hg 0.0000 0.0000 0.5000
Hg 0.0000 0.5000 0.0000
Hg 0.5000 0.0000 0.0000

* symmetry: Pm-3m, No. 221
* relative energy among the computed polymorphs: 0 meV/atom
* Fermi-level density of states: 3.8 states/eV/cell
* ΔH_f (0 K): 839 meV/atom
* total energy: -12.57 eV per cell

=====

DFT (PBE) results for crystalline TaSn3Hg at its relaxed geometry.

Cell: 5.4151 5.4151 5.4151 Å, 90.00 90.00 90.00°
Fractional positions:
Ta 0.0000 0.0000 0.0000
Sn 0.0000 0.0000 0.5000
Sn 0.0000 0.5000 0.0000
Sn 0.5000 0.0000 0.0000
Hg 0.5000 0.5000 0.5000

* symmetry: Pm-3m, No. 221
* relative energy among the computed polymorphs: 0 meV/atom
* Fermi-level density of states: 2.2 states/eV/cell
* ΔH_f (0 K): 290 meV/atom
* total energy: -22.71 eV per cell

=====

DFT (PBE) results for crystalline TaSnHg2 at its relaxed geometry.

Cell: 6.3603 6.3603 6.3603 Å, 101.90 101.90 125.99°
Fractional positions:
Ta 0.0000 0.0000 0.0000
Ta 0.7500 0.2500 0.5000
Sn 0.2500 0.7500 0.5000
Sn 0.5000 0.5000 0.0000
Hg 0.1103 0.1250 0.4853
Hg 0.3750 0.8897 0.0147
Hg 0.6397 0.6250 0.5147
Hg 0.8750 0.3603 0.9853

* symmetry: I-42d, No. 122
* Fermi-level density of states: 5.7 states/eV/cell
* ΔH_f (0 K): 564 meV/atom
* total energy: -28.41 eV per cell

=====

DFT (PBE) results for crystalline Ta3SnHg at its relaxed geometry.

Cell: 5.0216 5.0216 5.0216 Å, 90.00 90.00 90.00°
Fractional positions:
Ta 0.0000 0.0000 0.5000
Ta 0.0000 0.5000 0.0000
Ta 0.5000 0.0000 0.0000
Sn 0.0000 0.0000 0.0000
Hg 0.5000 0.5000 0.5000

* symmetry: Pm-3m, No. 221
* relative energy among the computed polymorphs: 0 meV/atom
* Fermi-level density of states: 8.0 states/eV/cell
* ΔH_f (0 K): 1926 meV/atom
* total energy: -30.23 eV per cell

=====

DFT (PBE) results for crystalline YTa2SnHg at its relaxed geometry.

Cell: 5.1556 5.1556 5.2080 Å, 90.00 90.00 90.00°
Fractional positions:
Y 0.0000 0.0000 0.0000
Ta 0.0000 0.5000 0.5000
Ta 0.5000 0.0000 0.5000
Sn 0.5000 0.5000 0.5000
Hg 0.5000 0.5000 0.0000

* symmetry: P4/mmm, No. 123
* Fermi-level density of states: 6.2 states/eV/cell
* ΔH_f (0 K): 1281 meV/atom
* total energy: -28.07 eV per cell

=====

DFT (PBE) results for crystalline Y2TaSnHg at its relaxed geometry.

Cell: 5.6485 5.6485 5.1328 Å, 90.00 90.00 90.00°
Fractional positions:
Y 0.0000 0.5000 0.0000
Y 0.5000 0.0000 0.0000
Ta 0.0000 0.0000 0.5000
Sn 0.0000 0.0000 0.0000
Hg 0.5000 0.5000 0.5000

* symmetry: P4/mmm, No. 123
* Fermi-level density of states: 5.4 states/eV/cell
* ΔH_f (0 K): 734 meV/atom
* total energy: -25.41 eV per cell

=====

DFT (PBE) results for crystalline Tb4SnHg at its relaxed geometry.

Cell: 8.9210 8.9210 7.4431 Å, 101.74 101.74 39.94°
Fractional positions:
Tb 0.0468 0.8068 0.5583
Tb 0.1932 0.9532 0.9417
Tb 0.2330 0.4674 0.8890
Tb 0.4674 0.2330 0.3890
Tb 0.5326 0.7670 0.6110
Tb 0.7670 0.5326 0.1110
Tb 0.8068 0.0468 0.0583
Tb 0.9532 0.1932 0.4417
Sn 0.3723 0.6277 0.2500
Sn 0.6277 0.3723 0.7500
Hg 0.0000 0.5000 0.5000
Hg 0.5000 0.0000 0.0000

* symmetry: C2/c, No. 15
* Fermi-level density of states: 12.2 states/eV/cell
* ΔH_f (0 K): -234 meV/atom
* total energy: -48.46 eV per cell

=====

DFT (PBE) results for crystalline Tb2SnHg2 at its relaxed geometry.

Cell: 6.1614 6.1614 11.1352 Å, 112.90 112.90 43.44°
Fractional positions:
Tb 0.0033 0.0033 0.3257
Tb 0.1789 0.1789 0.0962
Tb 0.8211 0.8211 0.9038
Tb 0.9967 0.9967 0.6743
Sn 0.2859 0.2859 0.6893
Sn 0.7141 0.7141 0.3107
Hg 0.3600 0.3600 0.4553
Hg 0.4492 0.4492 0.1077
Hg 0.5508 0.5508 0.8923
Hg 0.6400 0.6400 0.5447

* symmetry: C2/m, No. 12
* relative energy among the computed polymorphs: 0 meV/atom
* Fermi-level density of states: 6.8 states/eV/cell
* ΔH_f (0 K): -471 meV/atom
* total energy: -32.44 eV per cell

=====

DFT (PBE) results for crystalline Tb2SnHg3 at its relaxed geometry.

Cell: 11.2690 11.2690 11.2690 Å, 162.12 157.89 28.58°
Fractional positions:
Tb 0.0000 0.0000 0.0000
Tb 0.7245 0.2245 0.5000
Sn 0.5715 0.5715 0.0000
Hg 0.1566 0.6566 0.5000
Hg 0.3057 0.8057 0.5000
Hg 0.4171 0.4171 0.0000

* symmetry: Imm2, No. 44
* relative energy among the computed polymorphs: 139 meV/atom
* Fermi-level density of states: 3.7 states/eV/cell
* ΔH_f (0 K): -291 meV/atom
* total energy: -15.91 eV per cell

=====

DFT (PBE) results for crystalline Tb4SnHg3 at its relaxed geometry.

Cell: 10.6040 7.4804 5.3025 Å, 90.00 90.00 90.00°
Fractional positions:
Tb 0.0000 0.2484 0.0000
Tb 0.0000 0.7516 0.0000
Tb 0.2500 0.2484 0.4990
Tb 0.2500 0.7516 0.4990
Tb 0.5000 0.2484 0.0000
Tb 0.5000 0.7516 0.0000
Tb 0.7500 0.2484 0.5010
Tb 0.7500 0.7516 0.5010
Sn 0.0000 0.5000 0.5000
Sn 0.5000 0.5000 0.5000
Hg 0.0000 0.0000 0.5000
Hg 0.2500 0.0000 0.9989
Hg 0.2500 0.5000 0.9986
Hg 0.5000 0.0000 0.5000
Hg 0.7500 0.0000 0.0011
Hg 0.7500 0.5000 0.0014

* symmetry: Pmma, No. 51
* Fermi-level density of states: 18.0 states/eV/cell
* ΔH_f (0 K): -536 meV/atom
* total energy: -55.44 eV per cell

=====

DFT (PBE) results for crystalline Tb8Sn2Hg3 at its relaxed geometry.

Cell: 9.0617 9.0617 5.4871 Å, 90.00 90.00 120.62°
Fractional positions:
Tb 0.1074 0.8926 0.0000
Tb 0.1665 0.3991 0.5000
Tb 0.3261 0.6739 0.0000
Tb 0.3991 0.1665 0.5000
Tb 0.6009 0.8335 0.5000
Tb 0.6739 0.3261 0.0000
Tb 0.8335 0.6009 0.5000
Tb 0.8926 0.1074 0.0000
Sn 0.2285 0.7715 0.5000
Sn 0.7715 0.2285 0.5000
Hg 0.0000 0.0000 0.5000
Hg 0.3150 0.3150 0.0000
Hg 0.6851 0.6851 0.0000

* symmetry: Cmmm, No. 65
* Fermi-level density of states: 13.8 states/eV/cell
* ΔH_f (0 K): -296 meV/atom
* total energy: -49.80 eV per cell

=====

DFT (PBE) results for crystalline TbSnHg at its relaxed geometry.

Cell: 6.0942 6.0942 6.0285 Å, 90.00 90.00 133.10°
Fractional positions:
Tb 0.1249 0.8751 0.7500
Tb 0.8751 0.1249 0.2500
Sn 0.1936 0.8064 0.2500
Sn 0.8064 0.1936 0.7500
Hg 0.4514 0.5486 0.7500
Hg 0.5486 0.4514 0.2500

* symmetry: Cmcm, No. 63
* Fermi-level density of states: 2.6 states/eV/cell
* ΔH_f (0 K): -371 meV/atom
* total energy: -20.10 eV per cell

=====

DFT (PBE) results for crystalline Tb2SnHg3 at its relaxed geometry.

Cell: 9.8765 9.2477 6.0905 Å, 77.14 65.90 36.96°
Fractional positions:
Tb 0.2454 0.7546 0.7546
Tb 0.2500 0.2500 0.2500
Tb 0.7500 0.7500 0.7500
Tb 0.7546 0.2454 0.2454
Sn 0.3346 0.3346 0.6654
Sn 0.6654 0.6654 0.3346
Hg 0.1657 0.1657 0.8343
Hg 0.1664 0.6681 0.3319
Hg 0.3319 0.8336 0.1664
Hg 0.6681 0.1664 0.8336
Hg 0.8336 0.3319 0.6681
Hg 0.8343 0.8343 0.1657

* symmetry: Fmmm, No. 69
* relative energy among the computed polymorphs: 0 meV/atom
* Fermi-level density of states: 8.1 states/eV/cell
* ΔH_f (0 K): -430 meV/atom
* total energy: -33.49 eV per cell

=====

DFT (PBE) results for crystalline Tb2Sn4Hg at its relaxed geometry.

Cell: 4.4859 4.4859 9.4860 Å, 90.00 90.00 90.00°
Fractional positions:
Tb 0.0000 0.5000 0.2359
Tb 0.5000 0.0000 0.7641
Sn 0.0000 0.0000 0.5000
Sn 0.0000 0.5000 0.8017
Sn 0.5000 0.0000 0.1983
Sn 0.5000 0.5000 0.5000
Hg 0.5000 0.5000 0.0000

* symmetry: P-4m2, No. 115
* relative energy among the computed polymorphs: 23 meV/atom
* Fermi-level density of states: 3.7 states/eV/cell
* ΔH_f (0 K): -412 meV/atom
* total energy: -28.45 eV per cell

=====

DFT (PBE) results for crystalline Tb6SnHg8 at its relaxed geometry.

Cell: 8.1319 8.1319 8.1319 Å, 64.96 64.96 64.96°
Fractional positions:
Tb 0.1180 0.8072 0.3839
Tb 0.1928 0.6161 0.8820
Tb 0.3839 0.1180 0.8072
Tb 0.6161 0.8820 0.1928
Tb 0.8072 0.3839 0.1180
Tb 0.8820 0.1928 0.6161
Sn 0.5000 0.5000 0.5000
Hg 0.0409 0.4299 0.6900
Hg 0.1966 0.1966 0.1966
Hg 0.3100 0.9591 0.5701
Hg 0.4299 0.6900 0.0409
Hg 0.5701 0.3100 0.9591
Hg 0.6900 0.0409 0.4299
Hg 0.8034 0.8034 0.8034
Hg 0.9591 0.5701 0.3100

* symmetry: R-3, No. 148
* Fermi-level density of states: 9.9 states/eV/cell
* ΔH_f (0 K): -363 meV/atom
* total energy: -39.64 eV per cell

=====

DFT (PBE) results for crystalline TbSnHg at its relaxed geometry.

Cell: 8.1743 8.1743 4.2536 Å, 90.00 90.00 146.72°
Fractional positions:
Tb 0.0970 0.9030 0.7500
Tb 0.9030 0.0970 0.2500
Sn 0.4287 0.5713 0.7500
Sn 0.5713 0.4287 0.2500
Hg 0.2612 0.7388 0.2500
Hg 0.7388 0.2612 0.7500

* symmetry: Cmcm, No. 63
* Fermi-level density of states: 3.3 states/eV/cell
* ΔH_f (0 K): -503 meV/atom
* total energy: -20.89 eV per cell

=====

DFT (PBE) results for crystalline TbSnHg2 at its relaxed geometry.

Cell: 4.5082 4.5082 4.8463 Å, 90.00 90.00 90.00°
Fractional positions:
Tb 0.0000 0.0000 0.0000
Sn 0.5000 0.5000 0.0000
Hg 0.0000 0.5000 0.5000
Hg 0.5000 0.0000 0.5000

* symmetry: P4/mmm, No. 123
* Fermi-level density of states: 1.7 states/eV/cell
* ΔH_f (0 K): -422 meV/atom
* total energy: -10.92 eV per cell

=====

DFT (PBE) results for crystalline TbSnHg2 at its relaxed geometry.

Cell: 5.8981 5.8981 5.8981 Å, 47.95 47.95 47.95°
Fractional positions:
Tb 0.0000 0.0000 0.0000
Sn 0.5000 0.5000 0.5000
Hg 0.2441 0.2441 0.2441
Hg 0.7559 0.7559 0.7559

* symmetry: R-3m, No. 166
* Fermi-level density of states: 1.5 states/eV/cell
* ΔH_f (0 K): -315 meV/atom
* total energy: -10.50 eV per cell

=====

DFT (PBE) results for crystalline Tb2SnHg2 at its relaxed geometry.

Cell: 5.5465 5.5465 6.1816 Å, 92.57 92.57 47.67°
Fractional positions:
Tb 0.1951 0.1951 0.2128
Tb 0.8049 0.8049 0.7872
Sn 0.5000 0.5000 0.0000
Hg 0.1044 0.1044 0.6822
Hg 0.8956 0.8956 0.3178

* symmetry: C2/m, No. 12
* relative energy among the computed polymorphs: 42 meV/atom
* Fermi-level density of states: 2.9 states/eV/cell
* ΔH_f (0 K): -429 meV/atom
* total energy: -16.01 eV per cell

=====

DFT (PBE) results for crystalline Tb3SnHg at its relaxed geometry.

Cell: 8.2619 8.2619 8.7310 Å, 90.00 90.00 85.84°
Fractional positions:
Tb 0.0087 0.7993 0.9181
Tb 0.0761 0.4240 0.6929
Tb 0.2007 0.9913 0.5819
Tb 0.2989 0.5077 0.0818
Tb 0.4240 0.0761 0.1929
Tb 0.4923 0.7011 0.4182
Tb 0.5077 0.2989 0.5818
Tb 0.5760 0.9239 0.8071
Tb 0.7011 0.4923 0.9182
Tb 0.7993 0.0087 0.4181
Tb 0.9239 0.5760 0.3071
Tb 0.9913 0.2007 0.0819
Sn 0.1481 0.8519 0.2500
Sn 0.3526 0.6474 0.7500
Sn 0.6474 0.3526 0.2500
Sn 0.8519 0.1481 0.7500
Hg 0.1906 0.3080 0.3741
Hg 0.3080 0.1906 0.8741
Hg 0.6920 0.8094 0.1259
Hg 0.8094 0.6920 0.6259

* symmetry: C2/c, No. 15
* Fermi-level density of states: 23.2 states/eV/cell
* ΔH_f (0 K): -420 meV/atom
* total energy: -81.18 eV per cell

=====

DFT (PBE) results for crystalline Tb2Sn2Hg at its relaxed geometry.

Cell: 6.2605 6.2605 11.0008 Å, 112.04 112.04 42.40°
Fractional positions:
Tb 0.0080 0.0080 0.1788
Tb 0.1798 0.1798 0.6078
Tb 0.8202 0.8202 0.3922
Tb 0.9920 0.9920 0.8212
Sn 0.3587 0.3587 0.9378
Sn 0.4453 0.4453 0.6022
Sn 0.5547 0.5547 0.3978
Sn 0.6413 0.6413 0.0622
Hg 0.3015 0.3015 0.1812
Hg 0.6985 0.6985 0.8188

* symmetry: C2/m, No. 12
* Fermi-level density of states: 6.5 states/eV/cell
* ΔH_f (0 K): -567 meV/atom
* total energy: -40.80 eV per cell

=====

DFT (PBE) results for crystalline Tb2Sn3Hg2 at its relaxed geometry.

Cell: 6.0844 6.0844 6.8003 Å, 96.11 96.11 46.14°
Fractional positions:
Tb 0.0939 0.0939 0.2806
Tb 0.9061 0.9061 0.7194
Sn 0.2060 0.2060 0.8273
Sn 0.5000 0.5000 0.0000
Sn 0.7940 0.7940 0.1727
Hg 0.3786 0.3786 0.4043
Hg 0.6214 0.6214 0.5957

* symmetry: C2/m, No. 12
* Fermi-level density of states: 3.8 states/eV/cell
* ΔH_f (0 K): -413 meV/atom
* total energy: -24.76 eV per cell

=====

DFT (PBE) results for crystalline TbSnHg2 at its relaxed geometry.

Cell: 3.9129 3.9129 6.6487 Å, 90.00 90.00 90.00°
Fractional positions:
Tb 0.0000 0.0000 0.0000
Sn 0.0000 0.0000 0.5000
Hg 0.5000 0.5000 0.2515
Hg 0.5000 0.5000 0.7485

* symmetry: P4/mmm, No. 123
* Fermi-level density of states: 2.3 states/eV/cell
* ΔH_f (0 K): -284 meV/atom
* total energy: -10.37 eV per cell